# Li2Sm2PaSe6 (PBE, optimized geometry)
data_Li2Sm2PaSe6
_chemical_formula_sum 'Li2 Sm2 Pa1 Se6'
_cell_length_a 7.203
_cell_length_b 7.203
_cell_length_c 6.916
_cell_angle_alpha 99.94
_cell_angle_beta 99.94
_cell_angle_gamma 119.64
_space_group_name_H-M_alt 'P 1'
_space_group_IT_number 1
_space_group_name_Hall 'P 1'
loop_
_atom_site_label
_atom_site_type_symbol
_atom_site_fract_x
_atom_site_fract_y
_atom_site_fract_z
_atom_site_occupancy
Li1 Li 0.833 0.167 0.000 1
Li2 Li 0.167 0.833 0.000 1
Sm1 Sm 0.335 0.665 0.500 1
Sm2 Sm 0.665 0.335 0.500 1
Pa1 Pa 0.000 0.000 0.500 1
Se1 Se 0.763 0.763 0.751 1
Se2 Se 0.078 0.407 0.752 1
Se3 Se 0.237 0.237 0.249 1
Se4 Se 0.407 0.078 0.752 1
Se5 Se 0.922 0.593 0.248 1
Se6 Se 0.593 0.922 0.248 1
# Formation energy without anion corrections = -1.5739 eV per atom
# Mass density = 5780 kg/m3